# 1
A relaxed ScIn2Hg crystal. Source: Alexandria, functional PBEsol.

For the density of states at the Fermi level, the calculation gives 4.7 states/eV/cell. For the formation energy, the calculation gives -0.318 eV/atom.

Unit cell a=4.3124 b=4.3124 c=9.3195 alpha=90.00 beta=90.00 gamma=90.00
Last column: nearest neighbours and their distance in Å.
Space group I-4m2 (No. 119)
Symmetry-distinct sites (fractional):
Sc 0.0000 0.0000 0.0000 (multiplicity 2)  8 In 3.05-3.17, 4 Hg 3.17
In 0.0000 0.0000 0.5000 (multiplicity 2)  4 Sc 3.05, 4 Hg 3.17, 4 In 3.17
In 0.0000 0.5000 0.7500 (multiplicity 2)  4 Hg 3.05, 4 In 3.17, 4 Sc 3.17
Hg 0.0000 0.5000 0.2500 (multiplicity 2)  8 In 3.05-3.17, 4 Sc 3.17

---

# 2
A relaxed PbCBr2 crystal. Source: Alexandria, functional PBEsol.

For the density of states at the Fermi level, the calculation gives 4.6 states/eV/cell. The calculation puts the energy above the most stable polymorph in this dataset at 0.0 meV per atom. For the raw formation energy, the calculation gives 4.59 eV per formula unit.

Unit cell a=3.4828 b=3.4828 c=26.9421 alpha=90.00 beta=90.00 gamma=120.00
Last column: nearest neighbours and their distance in Å.
Space group R-3m (No. 166, hexagonal axes)
Symmetry-distinct sites (fractional):
Pb 0.0000 0.0000 0.0000 (multiplicity 3)  2 Br 3.09
C 0.0000 0.0000 0.5000 (multiplicity 3)  6 Br 2.45
Br 0.0000 0.0000 0.1147 (multiplicity 6)  3 C 2.45

---

# 3
A relaxed NdSi2Os2 crystal. Source: Alexandria, functional PBEsol.

For the density of states at the Fermi level, the calculation gives 5.5 states/eV/cell. For the raw formation energy, the calculation gives -3.62 eV per formula unit.

Unit cell a=4.1574 b=4.1574 c=9.8275 alpha=90.00 beta=90.00 gamma=90.00
Last column: nearest neighbours and their distance in Å.
Space group I4/mmm (No. 139)
Symmetry-distinct sites (fractional):
Nd 0.0000 0.0000 0.0000 (multiplicity 2)  8 Si 3.21, 8 Os 3.22
Si 0.0000 0.0000 0.3699 (multiplicity 4)  4 Os 2.39, 1 Si 2.56
Os 0.0000 0.5000 0.2500 (multiplicity 4)  4 Si 2.39

---

# 4
A relaxed K6MnS4 crystal. Source: Alexandria, functional PBEsol.

For the raw formation energy, the calculation gives -11.39 eV per formula unit.

Unit cell a=9.7345 b=9.7345 c=7.5922 alpha=90.00 beta=90.00 gamma=120.00
Last column: nearest neighbours and their distance in Å.
Space group P6_3mc (No. 186)
Symmetry-distinct sites (fractional):
K 0.0587 0.5294 0.0000 (multiplicity 6)  5 S 3.17-3.35, 1 Mn 3.42, 2 K 3.50
K 0.1463 0.2925 0.6766 (multiplicity 6)  4 S 3.08-3.16
Mn 0.3333 0.6667 0.3854 (multiplicity 2)  4 S 2.41
S 0.1973 0.3945 0.2867 (multiplicity 6)  1 Mn 2.41
S 0.3333 0.6667 0.7025 (multiplicity 2)  1 Mn 2.41

---

# 5
A relaxed ZnCrGa2Cl crystal. Source: Alexandria, functional PBEsol.

For the density of states at the Fermi level, the calculation gives 3.1 states/eV/cell. For the raw formation energy, the calculation gives 2.42 eV per formula unit.

Unit cell a=4.6456 b=4.6456 c=5.0515 alpha=90.00 beta=90.00 gamma=90.00
Last column: nearest neighbours and their distance in Å.
Space group P4/mmm (No. 123)
Symmetry-distinct sites (fractional):
Zn 0.0000 0.0000 0.0000 (multiplicity 1)  4 Ga 2.32, 2 Cr 2.53
Cr 0.0000 0.0000 0.5000 (multiplicity 1)  2 Zn 2.53
Ga 0.0000 0.5000 0.0000 (multiplicity 2)  2 Zn 2.32
Cl 0.5000 0.5000 0.5000 (multiplicity 1)  4 Cr 3.28, 8 Ga 3.43

---

# 6
A relaxed Co2Ir crystal. Source: Alexandria, functional PBEsol.

For the density of states at the Fermi level, the calculation gives 8.1 states/eV/cell. The calculation puts the energy above the most stable polymorph in this dataset at 9.9 meV per atom. For the formation energy, the calculation gives 0.042 eV/atom.

Unit cell a=2.5699 b=3.5362 c=7.4966 alpha=90.00 beta=90.00 gamma=90.00
Last column: nearest neighbours and their distance in Å.
Space group Immm (No. 71)
Symmetry-distinct sites (fractional):
Co 0.0000 0.0000 0.1667 (multiplicity 4)  5 Ir 2.50-2.52, 7 Co 2.50-2.57
Ir 0.0000 0.0000 0.5000 (multiplicity 2)  10 Co 2.50-2.52, 2 Ir 2.57

---

# 7
A relaxed TiAgPS2 crystal. Source: Alexandria, functional PBEsol.

For the density of states at the Fermi level, the calculation gives 5.8 states/eV/cell. For the raw formation energy, the calculation gives 3.70 eV per formula unit.

Unit cell a=4.6707 b=4.6707 c=4.6554 alpha=90.00 beta=90.00 gamma=90.00
Last column: nearest neighbours and their distance in Å.
Space group P4/mmm (No. 123)
Symmetry-distinct sites (fractional):
Ti 0.0000 0.0000 0.0000 (multiplicity 1)  8 S 3.30, 4 P 3.30
Ag 0.5000 0.5000 0.5000 (multiplicity 1)  2 P 2.33, 4 S 2.34
P 0.5000 0.5000 0.0000 (multiplicity 1)  2 Ag 2.33
S 0.0000 0.5000 0.5000 (multiplicity 2)  2 Ag 2.34

---

# 8
A relaxed Sc2CrCu crystal. Source: Alexandria, functional PBEsol.

For the density of states at the Fermi level, the calculation gives 5.9 states/eV/cell. The calculation puts the energy above the most stable polymorph in this dataset at 17.2 meV per atom. For the formation energy, the calculation gives 0.134 eV/atom.

Unit cell a=3.1885 b=4.4521 c=9.6042 alpha=90.00 beta=90.00 gamma=90.00
Last column: nearest neighbours and their distance in Å.
Space group Imm2 (No. 44)
Symmetry-distinct sites (fractional):
Sc 0.0000 0.0000 0.0000 (multiplicity 2)  4 Cu 2.75, 2 Cr 3.03, 2 Sc 3.05
Sc 0.0000 0.5000 0.2178 (multiplicity 2)  4 Cr 2.78, 2 Cu 2.86, 2 Sc 3.05
Cr 0.0000 0.5000 0.7685 (multiplicity 2)  2 Cu 2.51, 4 Sc 2.78
Cu 0.0000 0.0000 0.4708 (multiplicity 2)  2 Cr 2.51, 4 Sc 2.75

---

In the order shown, the computed magnetization values come out to 0.00; 0.00; 0.00; 10.00; 4.52; 0.00; 0.81; 4.36 Bohr magnetons per cell.